This record from OQMD via LeMat-Bulk describes a relaxed Dy2Al5Ga crystal. The functional is PBE.

It has space group Amm2 (No. 38), with a = 4.584 Å, b = 6.261 Å, c = 10.913 Å, α = 90.00°, β = 90.00° and γ = 90.00°. The inequivalent atoms are Dy at (0.000, 0.000, 0.000), Dy at (0.500, 0.000, 0.336), Al at (0.000, 0.000, 0.521), Al at (0.000, 0.221, 0.740), Al at (0.500, 0.220, 0.596) and Ga at (0.500, 0.000, 0.816).

Its total DFT energy (no corrections) is -0.3174 Ry/atom. As for the crystal system: orthorhombic.


This record from OQMD via LeMat-Bulk describes a relaxed CsAcTm crystal. The functional is PBE.

It has space group F-43m (No. 216), with a = 8.843 Å, b = 8.843 Å, c = 8.843 Å, α = 90.00°, β = 90.00° and γ = 90.00°. The inequivalent atoms are Cs at (0.000, 0.000, 0.000), Ac at (0.000, 0.000, 0.500) and Tm at (0.250, 0.250, 0.750).

As for the crystal system: cubic. The calculation puts the offset from the most stable computed form at 0.000 eV per atom.


This record from OQMD via LeMat-Bulk describes a relaxed PrGdPt crystal. The functional is PBE.

It has space group F-43m (No. 216), with a = 6.843 Å, b = 6.843 Å, c = 6.843 Å, α = 90.00°, β = 90.00° and γ = 90.00°. The inequivalent atoms are Pr at (0.000, 0.000, 0.000), Gd at (0.250, 0.250, 0.250) and Pt at (0.000, 0.000, 0.500).

The calculated formation energy comes out at -0.14 eV per atom. As for the crystal system: cubic. The calculation puts the offset from the most stable computed form at 0.723 eV per atom.


This record from OQMD via LeMat-Bulk describes a relaxed KNaPa crystal. The functional is PBE.

It has space group F-43m (No. 216), with a = 8.496 Å, b = 8.496 Å, c = 8.496 Å, α = 90.00°, β = 90.00° and γ = 90.00°. The inequivalent atoms are K at (0.000, 0.000, 0.000), Na at (0.000, 0.000, 0.500) and Pa at (0.250, 0.250, 0.250).

Its total DFT energy (no corrections) is -0.1550 Ry/atom. As for the crystal system: cubic.


This record from OQMD via LeMat-Bulk describes a relaxed DyTmCd2Au4 crystal. The functional is PBE.

It has space group P4/mmm (No. 123), with a = 4.911 Å, b = 4.911 Å, c = 6.951 Å, α = 90.00°, β = 90.00° and γ = 90.00°. The inequivalent atoms are Dy at (0.000, 0.000, 0.000), Tm at (0.500, 0.500, 0.500), Cd at (0.000, 0.000, 0.500), Cd at (0.500, 0.500, 0.000) and Au at (0.000, 0.500, 0.254).

The calculated formation energy comes out at -0.68 eV per atom. As for the crystal system: tetragonal.


This record from OQMD via LeMat-Bulk describes a relaxed CoSnMo4N2 crystal. The functional is PBE.

It has space group P-6m2 (No. 187), with a = 2.9543 Å, b = 2.9543 Å, c = 14.0364 Å, α = 90.00°, β = 90.00° and γ = 120.00°. The inequivalent atoms are Co at (0.0000, 0.0000, 0.0000), Sn at (0.3333, 0.6667, 0.5000), Mo at (0.0000, 0.0000, 0.3312), Mo at (0.3333, 0.6667, 0.1446) and N at (0.6667, 0.3333, 0.2392).

Its total DFT energy (no corrections) is -0.6424 Ry/atom. As for the crystal system: hexagonal.